Compound: CaSi4WO10
Source: Alexandria via LeMat-Bulk
Functional: GGA+U
Structure: relaxed

**DFT total energy**: -121.24 eV/f.u.
**Size of the total moment**: 8.00 μB per cell

Cell lengths 7.468, 7.468, 15.866 Å; angles 90.00, 90.00, 90.00 degrees
Fractional coordinates of all 64 atoms:
Ca 0.250 0.750 0.000
Ca 0.250 0.750 0.500
Ca 0.750 0.250 0.000
Ca 0.750 0.250 0.500
Si 0.001 0.085 0.152
Si 0.001 0.415 0.652
Si 0.085 0.001 0.652
Si 0.085 0.499 0.152
Si 0.415 0.001 0.152
Si 0.415 0.499 0.652
Si 0.499 0.085 0.652
Si 0.499 0.415 0.152
Si 0.501 0.585 0.848
Si 0.501 0.915 0.348
Si 0.585 0.501 0.348
Si 0.585 0.999 0.848
Si 0.915 0.501 0.848
Si 0.915 0.999 0.348
Si 0.999 0.585 0.348
Si 0.999 0.915 0.848
W 0.250 0.250 0.415
W 0.250 0.250 0.915
W 0.750 0.750 0.085
W 0.750 0.750 0.585
O 0.001 0.699 0.867
O 0.001 0.801 0.367
O 0.007 0.641 0.084
O 0.007 0.859 0.584
O 0.053 0.553 0.250
O 0.053 0.947 0.750
O 0.141 0.507 0.416
O 0.141 0.993 0.916
O 0.199 0.501 0.633
O 0.199 0.999 0.133
O 0.301 0.501 0.133
O 0.301 0.999 0.633
O 0.359 0.507 0.916
O 0.359 0.993 0.416
O 0.447 0.553 0.750
O 0.447 0.947 0.250
O 0.493 0.641 0.584
O 0.493 0.859 0.084
O 0.499 0.699 0.367
O 0.499 0.801 0.867
O 0.501 0.199 0.133
O 0.501 0.301 0.633
O 0.507 0.141 0.916
O 0.507 0.359 0.416
O 0.553 0.053 0.750
O 0.553 0.447 0.250
O 0.641 0.007 0.584
O 0.641 0.493 0.084
O 0.699 0.001 0.367
O 0.699 0.499 0.867
O 0.801 0.001 0.867
O 0.801 0.499 0.367
O 0.859 0.007 0.084
O 0.859 0.493 0.584
O 0.947 0.053 0.250
O 0.947 0.447 0.750
O 0.993 0.141 0.416
O 0.993 0.359 0.916
O 0.999 0.199 0.633
O 0.999 0.301 0.133